Here is a relaxed structure of AgSb2SI from the Alexandria database. Energies are from PBE.

Cell: 5.2350 5.2350 5.6144 Å, 90.00 90.00 90.00°
Atoms (fractional coordinates):
Ag (0.0000, 0.0000, 0.0000)
Sb (0.0000, 0.5000, 0.5000)
Sb (0.5000, 0.0000, 0.5000)
S (0.5000, 0.5000, 0.5000)
I (0.5000, 0.5000, 0.0000)

As for the total energy: -2.69 eV per atom. The calculation puts the uncorrected formation energy at 0.67 eV per atom. The calculation puts the energy above the most stable polymorph in this dataset at 0.0 meV per atom. The value obtained for the density of states at the Fermi level is 4.7 states/eV/cell.